A plane-wave DFT calculation with GGA-PBE was carried out for a geometry-optimized Ho5Sb2Pd structure.

Cell: 12.1094 8.9315 7.9290 Å, 90.00 90.00 90.00°
Space group Pnma (No. 62)
Asymmetric unit:
Ho 0.0009 0.2500 0.0402
Ho 0.0687 0.0473 0.6821
Ho 0.2003 0.7500 0.3636
Ho 0.2145 0.2500 0.3332
Sb 0.1731 0.5082 0.0660
Pd 0.0152 0.7500 0.5835

Electronic total energy: -172.10 eV/cell